1.
First-principles (PBE-GGA) data for crystalline Pm4HRu2 at its relaxed geometry, as listed in Alexandria via LeMat-Bulk.

```
Pm4HRu2
1.0
-4.6117 -0.4397 0.6712
0.4345 -4.6603 -0.0673
3.1405 2.5438 6.9210
Ru H Pm
2 1 4
Cartesian
-1.8235 -2.5515 2.1225 Ru
0.7868 -0.0046 5.4025 Ru
0.0000 0.0000 0.0000 H
-1.4410 -2.5538 4.7489 Pm
0.4043 -0.0024 2.7761 Pm
0.2173 -2.3301 -0.0336 Pm
-2.3059 -0.2198 0.3356 Pm
```

Computed properties:
excess energy over the best structure of this formula in the dataset	0.1017	eV per atom
calculated volume	22.85	Å³/atom
total magnetic moment	0.000	μB per atom
E	-6.015	eV/atom

=====

2.
First-principles (PBE-GGA) data for crystalline KAuCl4 at its relaxed geometry, as listed in Alexandria via LeMat-Bulk.

```
KAuCl4
1.0
6.5439 0.0000 0.0000
0.0000 9.1701 0.0201
0.0000 1.4686 12.3414
K Au Cl
4 4 16
Cartesian
4.5508 2.5063 3.8361 K
1.9932 3.2406 10.0068 K
1.2738 7.6168 2.2621 K
5.2701 8.3511 8.4328 K
1.6357 5.4291 6.1354 Au
4.9082 6.1634 12.3060 Au
1.6380 0.8440 6.1233 Au
4.9059 1.5782 12.2940 Au
3.2676 3.9923 6.9621 Cl
3.2764 3.2581 0.7914 Cl
0.0042 6.8665 5.3085 Cl
6.5397 7.6007 11.4792 Cl
0.7472 5.6826 8.2625 Cl
5.7967 4.9483 2.0918 Cl
2.5234 5.1748 4.0083 Cl
4.0206 5.9091 10.1789 Cl
2.9896 9.5631 11.7458 Cl
3.5543 8.8289 5.5751 Cl
0.2784 1.2945 0.5215 Cl
6.2655 2.0288 6.6921 Cl
5.2431 2.1148 10.0558 Cl
1.3009 1.3805 3.8851 Cl
4.5688 8.7433 2.2108 Cl
1.9752 9.4776 8.3814 Cl
```

Computed properties:
formation energy (no corrections)	-0.912	eV per atom
calculated volume	30.85	Å³/atom
total magnetic moment	0.000	μB per atom
E	-2.872	eV/atom

=====

3.
First-principles (PBE-GGA) data for crystalline LaDy3HoTh at its relaxed geometry, as listed in Alexandria via LeMat-Bulk.

```
LaDy3HoTh
1.0
-0.9025 3.3242 3.7239
-7.4527 1.0529 -2.7461
1.2896 -7.7747 7.2528
La Dy Ho Th
2 6 2 2
Cartesian
-0.7635 -1.3141 2.7156 La
-6.3021 -2.0835 5.5150 La
-7.0747 3.0757 0.7223 Dy
0.0090 -6.4733 7.5082 Dy
-4.3006 -2.0458 2.5115 Dy
-2.7651 -1.3518 5.7190 Dy
-3.2712 1.2953 3.2334 Dy
-3.7945 -4.6930 4.9971 Dy
-0.3855 -3.9221 5.1352 Ho
-6.6802 0.5245 3.0953 Ho
-4.6892 0.5387 0.1101 Th
-2.3765 -3.9363 8.1204 Th
```

Computed properties:
calculated volume	32.58	Å³/atom
total magnetic moment	0.000	μB per atom
E	-5.086	eV/atom

=====

4.
First-principles (PBE-GGA) data for crystalline Pm3Hf at its relaxed geometry, as listed in Alexandria via LeMat-Bulk.

```
Pm3Hf
1.0
3.5161 0.0000 0.0000
0.0000 6.1334 0.0000
-1.7580 -3.0667 5.6933
Hf Pm
1 3
Cartesian
0.0000 0.0323 0.0000 Hf
0.0000 2.0591 2.9828 Pm
1.7580 3.0051 0.0000 Pm
1.7580 -1.0076 2.7105 Pm
```

Computed properties:
excess energy over the best structure of this formula in the dataset	0.0106	eV per atom
calculated volume	30.69	Å³/atom
total magnetic moment	0.000	μB per atom
E	-5.862	eV/atom

=====

5.
First-principles (PBE-GGA) data for crystalline KPm2YTe4 at its relaxed geometry, as listed in Alexandria via LeMat-Bulk.

```
KPm2YTe4
1.0
-2.4324 -0.2080 3.7303
-5.3276 -4.4363 -3.7212
2.0001 -7.5759 0.8818
K Pm Y Te
1 2 1 4
Cartesian
-3.8800 -2.3222 0.0045 K
2.0001 -7.5759 0.8818 Pm
-0.2161 -3.8920 2.3061 Pm
-1.6637 -6.0061 -1.4197 Y
-2.5691 -8.9385 -2.1735 Te
-3.1908 -3.2817 3.0644 Te
-4.6835 -5.3896 -0.6904 Te
-1.0764 -6.8307 1.5813 Te
```

Computed properties:
formation energy (no corrections)	-1.350	eV per atom
calculated volume	32.79	Å³/atom
total magnetic moment	0.000	μB per atom
E	-5.054	eV/atom

=====

6.
First-principles (PBE-GGA) data for crystalline GaSi3F at its relaxed geometry, as listed in Alexandria via LeMat-Bulk.

```
GaSi3F
1.0
-0.3923 3.2073 3.0510
-4.1728 -1.2903 0.8199
1.4776 -2.7924 3.1254
Si Ga F
3 1 1
Cartesian
-2.0864 -0.6452 0.4100 Si
0.7388 -1.3962 1.5627 Si
-0.1961 1.6036 1.5255 Si
-1.5437 -0.4378 3.4982 Ga
0.0000 0.0000 0.0000 F
```

Computed properties:
formation energy (no corrections)	0.434	eV per atom
excess energy over the best structure of this formula in the dataset	0.0000	eV per atom
calculated volume	17.55	Å³/atom
total magnetic moment	0.000	μB per atom
E	-3.800	eV/atom